VASP calculation (PBE-GGA) on crystalline CoGeAs2 at its relaxed geometry.

a b c (Å): 4.489 4.489 4.489
angles (deg): 60.00 60.00 60.00
Fractional coordinates of all 4 atoms:
1 As 0.750 0.750 0.750
2 As 0.000 0.000 0.000
3 Ge 0.500 0.500 0.500
4 Co 0.250 0.250 0.250

Results
VASP energy   -19.13 eV for the cell shown
Space group   No. 216


VASP calculation (PBE-GGA) on crystalline Co2Ge2As3P at its relaxed geometry.

a b c (Å): 6.678 6.678 5.301
angles (deg): 113.20 113.20 48.81
Fractional coordinates of all 8 atoms:
1 As 0.341 0.659 0.500
2 As 0.128 0.371 0.697
3 As 0.629 0.872 0.303
4 Co 0.000 0.767 0.650
5 Co 0.233 0.000 0.350
6 P 0.902 0.098 0.000
7 Ge 0.757 0.491 0.881
8 Ge 0.509 0.243 0.119

Results
VASP energy   -42.95 eV for the cell shown
Space group   No. 5


VASP calculation (PBE-GGA) on crystalline Co2SnGeAs4 at its relaxed geometry.

a b c (Å): 6.912 6.912 6.912
angles (deg): 132.33 132.33 69.71
Last column: magnetic moment on the atom in μB.
Fractional coordinates of all 8 atoms:
1 Sn 0.750 0.250 0.500  0.01
2 As 0.883 0.811 0.457  0.00
3 As 0.354 0.425 0.543  0.00
4 As 0.575 0.117 0.928  0.00
5 As 0.189 0.646 0.072  0.00
6 Co 0.500 0.500 0.000  0.17
7 Co 0.250 0.750 0.500  0.16
8 Ge 0.000 0.000 0.000  0.01

Results
VASP energy   -41.25 eV for the cell shown
Space group   No. 82


VASP calculation (PBE-GGA) on crystalline SrCo2GeAs at its relaxed geometry.

a b c (Å): 6.391 6.391 6.391
angles (deg): 143.87 143.87 52.02
Last column: magnetic moment on the atom in μB.
Fractional coordinates of all 5 atoms:
1 Sr 0.003 0.003 0.000  0.00
2 As 0.641 0.641 0.000  0.00
3 Co 0.249 0.749 0.500  0.10
4 Co 0.749 0.249 0.500  0.10
5 Ge 0.356 0.356 0.000  0.00

Results
VASP energy   -27.75 eV for the cell shown
Space group   No. 107